First-principles (GGA-PBE) data for a geometry-optimized Cr2CoOs structure, as listed in Alexandria.

Values from the calculation:
**Space-group type**: R-3m
**Total magnetic moment**: 0.0 μB/cell
**Fermi-level density of states**: 4.63 states/eV per cell
**Electronic total energy**: -9.194 eV per atom
**Calculated volume**: 12.29 Å³ per atom
**Calculated formation energy**: 202 meV per atom
**Mass density**: 11.92 g cm⁻³

Lattice parameters (Å, degrees): 8.4740 8.4740 8.4740 17.71 17.71 17.71
Closest atoms and distances in Å follow each position.
Fractional positions:
1 Cr 0.2464 0.2464 0.2464  3 Co 2.50, 6 Cr 2.61, 3 Os 2.65
2 Cr 0.7536 0.7536 0.7536  3 Co 2.50, 6 Cr 2.61, 3 Os 2.65
3 Co 0.5000 0.5000 0.5000  6 Cr 2.50, 6 Co 2.61
4 Os 0.0000 0.0000 0.0000  6 Os 2.61, 6 Cr 2.65

***

First-principles (GGA-PBE) data for a geometry-optimized CrCoOs structure, as listed in Alexandria.

Values from the calculation:
**Space-group type**: F-43m
**Total magnetic moment**: 0.0 μB/cell
**Fermi-level density of states**: 4.53 states/eV per cell
**Energy above the most stable polymorph in this dataset**: 131.7 kJ/mol of formula units
**Electronic total energy**: -8.790 eV per atom
**Calculated volume**: 14.09 Å³ per atom
**Calculated formation energy**: 530 meV per atom
**Mass density**: 11.83 g cm⁻³

Lattice parameters (Å, degrees): 3.9098 3.9098 3.9098 60.00 60.00 60.00
Closest atoms and distances in Å follow each position.
Fractional positions:
1 Cr 0.0000 0.0000 0.0000  4 Co 2.39, 4 Os 2.39
2 Co 0.2500 0.2500 0.2500  4 Cr 2.39
3 Os 0.7500 0.7500 0.7500  4 Cr 2.39

***

First-principles (GGA-PBE) data for a geometry-optimized CrCoOs structure, as listed in Alexandria.

Values from the calculation:
**Space-group type**: P-6m2
**Total magnetic moment**: 0.0 μB/cell
**Fermi-level density of states**: 3.33 states/eV per cell
**Energy above the most stable polymorph in this dataset**: 0.0 kJ/mol of formula units
**Electronic total energy**: -9.245 eV per atom
**Calculated volume**: 12.19 Å³ per atom
**Calculated formation energy**: 75 meV per atom
**Mass density**: 13.67 g cm⁻³

Lattice parameters (Å, degrees): 4.0394 4.0394 2.5881 90.00 90.00 120.00
Closest atoms and distances in Å follow each position.
Fractional positions:
1 Cr 0.0000 0.0000 0.0000  3 Co 2.33, 2 Cr 2.59
2 Co 0.3333 0.6667 0.0000  3 Cr 2.33, 2 Co 2.59
3 Os 0.6667 0.3333 0.5000  2 Os 2.59, 6 Cr 2.67, 6 Co 2.67

***

First-principles (GGA-PBE) data for a geometry-optimized CrCoOs structure, as listed in Alexandria.

Values from the calculation:
**Space-group type**: I4mm
**Total magnetic moment**: 2.7 μB/cell
**Fermi-level density of states**: 2.83 states/eV per cell
**Energy above the most stable polymorph in this dataset**: 30.8 kJ/mol of formula units
**Electronic total energy**: -9.138 eV per atom
**Calculated volume**: 12.52 Å³ per atom
**Calculated formation energy**: 182 meV per atom
**Mass density**: 13.32 g cm⁻³

Lattice parameters (Å, degrees): 4.8279 4.8279 4.8279 144.61 144.61 50.92
Closest atoms and distances in Å follow each position.
Fractional positions:
1 Cr 0.0000 0.0000 0.0000  4 Co 2.46, 4 Os 2.52
2 Co 0.6507 0.6507 0.0000  4 Cr 2.46, 5 Os 2.63-2.75
3 Os 0.3353 0.3353 0.0000  4 Cr 2.52, 5 Co 2.63-2.75

***

> Among the records above, which one has the highest total magnetic moment?

number 4

***

> What is the calculated formation energy in the fourth record?

182 meV per atom